Entry 1:
Computed, not measured: a geometry-optimized SrNd2Cd2 structure at the PBE-GGA level of DFT.

The space group is Cmmm (No. 65) and the conventional cell measures 3.934, 21.888 and 3.820 Å, with angles of 90.00, 90.00 and 90.00 degrees. Symmetry generates all atoms from Sr at (0.000, 0.000, 0.000), Nd at (0.000, 0.181, 0.000) and Cd at (0.000, 0.401, 0.500).

As for the formation enthalpy at 0 K: -0.145 eV/atom. For the energy, the calculation gives -2.754 eV/atom.


Entry 2:
Computed, not measured: a geometry-optimized SrNd2Cd structure at the PBE-GGA level of DFT.

The space group is P4/mmm (No. 123) and the conventional cell measures 3.921, 3.921 and 9.450 Å, with angles of 90.00, 90.00 and 90.00 degrees. Symmetry generates all atoms from Sr at (0.000, 0.000, 0.000), Nd at (0.500, 0.500, 0.309) and Cd at (0.000, 0.000, 0.500).

As for the formation enthalpy at 0 K: -0.057 eV/atom. For the energy, the calculation gives -3.091 eV/atom.


Entry 3:
Computed, not measured: a geometry-optimized SrNdTlCd structure at the PBE-GGA level of DFT.

The space group is P4mm (No. 99) and the conventional cell measures 3.936, 3.936 and 8.124 Å, with angles of 90.00, 90.00 and 90.00 degrees. Symmetry generates all atoms from Sr at (0.000, 0.000, 0.000), Nd at (0.000, 0.000, 0.508), Tl at (0.500, 0.500, 0.271) and Cd at (0.500, 0.500, 0.734).

As for the formation enthalpy at 0 K: -0.365 eV/atom. For the energy, the calculation gives -2.797 eV/atom.


Entry 4:
Computed, not measured: a geometry-optimized SrNdTlCd structure at the PBE-GGA level of DFT.

The space group is F-43m (No. 216) and the conventional cell measures 7.942, 7.942 and 7.942 Å, with angles of 90.00, 90.00 and 90.00 degrees. Symmetry generates all atoms from Sr at (0.000, 0.000, 0.000), Nd at (0.000, 0.000, 0.500), Tl at (0.250, 0.250, 0.750) and Cd at (0.250, 0.250, 0.250).

As for the formation enthalpy at 0 K: -0.353 eV/atom. For the energy, the calculation gives -2.786 eV/atom.


Entry 5:
Computed, not measured: a geometry-optimized SrNdZnCd structure at the PBE-GGA level of DFT.

The space group is P4mm (No. 99) and the conventional cell measures 3.856, 3.856 and 7.815 Å, with angles of 90.00, 90.00 and 90.00 degrees. Symmetry generates all atoms from Sr at (0.000, 0.000, 0.000), Nd at (0.000, 0.000, 0.473), Zn at (0.500, 0.500, 0.268) and Cd at (0.500, 0.500, 0.717).

As for the formation enthalpy at 0 K: -0.280 eV/atom. For the energy, the calculation gives -2.439 eV/atom.


Entry 6:
Computed, not measured: a geometry-optimized SrNdZnCd structure at the PBE-GGA level of DFT.

The space group is F-43m (No. 216) and the conventional cell measures 7.729, 7.729 and 7.729 Å, with angles of 90.00, 90.00 and 90.00 degrees. Symmetry generates all atoms from Sr at (0.000, 0.000, 0.000), Nd at (0.000, 0.000, 0.500), Zn at (0.250, 0.250, 0.750) and Cd at (0.250, 0.250, 0.250).

As for the formation enthalpy at 0 K: -0.249 eV/atom. For the energy, the calculation gives -2.408 eV/atom.


Entry 7:
Computed, not measured: a geometry-optimized Tb3Nd3Cd structure at the PBE-GGA level of DFT.

The space group is P6_3/m (No. 176) and the conventional cell measures 9.5567, 9.5567 and 5.6173 Å, with angles of 90.00, 90.00 and 120.00 degrees. Symmetry generates all atoms from Tb at (0.0588, 0.2384, 0.2500), Nd at (0.1067, 0.4750, 0.7500) and Cd at (0.3333, 0.6667, 0.2500).

As for the formation enthalpy at 0 K: -0.039 eV/atom. For the energy, the calculation gives -4.197 eV/atom.


Entry 8:
Computed, not measured: a geometry-optimized TbNd9Cd2 structure at the PBE-GGA level of DFT.

The space group is P4/mmm (No. 123) and the conventional cell measures 5.028, 5.028 and 15.268 Å, with angles of 90.00, 90.00 and 90.00 degrees. Symmetry generates all atoms from Tb at (0.000, 0.000, 0.000), Nd at (0.000, 0.500, 0.173), Nd at (0.000, 0.500, 0.500), Nd at (0.500, 0.500, 0.000), Nd at (0.500, 0.500, 0.336) and Cd at (0.000, 0.000, 0.340).

As for the formation enthalpy at 0 K: -0.063 eV/atom. For the energy, the calculation gives -4.177 eV/atom.